1.
A geometry-optimized YPdPt3 structure, computed with PBE-GGA.

Cell: 3.582 14.072 14.072 Å, 16.14 90.00 90.00°
Fractional coordinates of all 10 atoms:
Pd 0.000 0.199 0.199
Pd 0.000 0.804 0.804
Pt 0.500 0.053 0.053
Pt 0.500 0.282 0.282
Pt 0.000 0.454 0.454
Pt 0.000 0.550 0.550
Pt 0.500 0.722 0.722
Pt 0.500 0.950 0.950
Y 0.500 0.377 0.377
Y 0.500 0.626 0.626

## Properties
Theoretical density: 13.15 g/cm³
SG: Cmmm
Calculated formation energy: -0.29 eV/atom

2.
A geometry-optimized YPd2Pt structure, computed with PBE-GGA.

Cell: 4.674 4.674 4.674 Å, 60.00 60.00 60.00°
Fractional coordinates of all 4 atoms:
Pd 0.000 0.000 0.000
Pd 0.250 0.250 0.250
Pt 0.750 0.750 0.750
Y 0.500 0.500 0.500

## Properties
Theoretical density: 11.42 g/cm³
SG: F-43m
Calculated formation energy: -0.72 eV/atom

3.
A geometry-optimized Y2PdPt structure, computed with PBE-GGA.

Cell: 5.592 4.568 7.028 Å, 90.00 90.08 90.00°
Fractional coordinates of all 8 atoms:
Pd 0.848 0.750 0.041
Pd 0.152 0.250 0.959
Pt 0.344 0.250 0.457
Pt 0.656 0.750 0.543
Y 0.357 0.750 0.188
Y 0.858 0.250 0.322
Y 0.142 0.750 0.678
Y 0.643 0.250 0.812

## Properties
Theoretical density: 8.87 g/cm³
SG: P2_1/m
Calculated formation energy: -1.09 eV/atom

4.
A geometry-optimized YPdPt structure, computed with PBE-GGA.

Cell: 4.588 4.588 4.588 Å, 60.00 60.00 60.00°
Fractional coordinates of all 3 atoms:
Pd 0.250 0.250 0.250
Pt 0.750 0.750 0.750
Y 0.000 0.000 0.000

## Properties
Theoretical density: 9.49 g/cm³
SG: F-43m
Calculated formation energy: -0.49 eV/atom

5.
A geometry-optimized Zn3Pd2Pt structure, computed with PBE-GGA.

Cell: 2.891 2.891 10.368 Å, 90.00 90.00 90.00°
Fractional coordinates of all 6 atoms:
Pd 0.000 0.000 0.165
Pd 0.000 0.000 0.835
Pt 0.000 0.000 0.500
Zn 0.500 0.500 0.000
Zn 0.500 0.500 0.332
Zn 0.500 0.500 0.668

## Properties
Theoretical density: 11.58 g/cm³
SG: P4/mmm
Calculated formation energy: -0.57 eV/atom

6.
A geometry-optimized ZnPdPt structure, computed with PBE-GGA.

Cell: 4.653 2.856 6.778 Å, 90.00 97.46 90.00°
Fractional coordinates of all 6 atoms:
Pd 0.089 0.000 0.194
Pd 0.370 0.000 0.846
Pt 0.588 0.500 0.196
Pt 0.806 0.000 0.547
Zn 0.297 0.500 0.517
Zn 0.877 0.500 0.875

## Properties
Theoretical density: 13.64 g/cm³
SG: Pm
Calculated formation energy: -0.43 eV/atom

7.
A geometry-optimized ZnPd2Pt structure, computed with PBE-GGA.

Cell: 4.415 4.415 4.415 Å, 60.00 60.00 60.00°
Fractional coordinates of all 4 atoms:
Pd 0.000 0.000 0.000
Pd 0.250 0.250 0.250
Pt 0.750 0.750 0.750
Zn 0.500 0.500 0.500

## Properties
Theoretical density: 12.92 g/cm³
SG: F-43m
Calculated formation energy: -0.28 eV/atom

8.
A geometry-optimized ZnPdPt structure, computed with PBE-GGA.

Cell: 4.265 4.265 4.265 Å, 60.00 60.00 60.00°
Fractional coordinates of all 3 atoms:
Pd 0.250 0.250 0.250
Pt 0.000 0.000 0.000
Zn 0.750 0.750 0.750

## Properties
Theoretical density: 11.11 g/cm³
SG: F-43m
Calculated formation energy: -0.04 eV/atom

9.
A geometry-optimized ZrZnPdPt structure, computed with PBE-GGA.

Cell: 4.854 4.854 4.854 Å, 129.69 129.69 73.90°
Fractional coordinates of all 4 atoms:
Pd 0.000 0.000 0.000
Pt 0.500 0.500 0.000
Zn 0.750 0.250 0.500
Zr 0.250 0.750 0.500

## Properties
Theoretical density: 11.52 g/cm³
SG: I-4m2
Calculated formation energy: -0.78 eV/atom

10.
A geometry-optimized Zr3Zn3Pd2Pt structure, computed with PBE-GGA.

Cell: 7.237 7.237 3.503 Å, 90.00 90.00 120.00°
Fractional coordinates of all 9 atoms:
Pd 0.667 0.333 0.500
Pd 0.333 0.667 0.500
Pt 0.000 0.000 0.000
Zn 0.728 0.000 0.500
Zn 0.272 0.272 0.500
Zn 0.000 0.728 0.500
Zr 0.392 0.000 0.000
Zr 0.000 0.392 0.000
Zr 0.608 0.608 0.000

## Properties
Theoretical density: 9.17 g/cm³
SG: P-62m
Calculated formation energy: -0.63 eV/atom

11.
A geometry-optimized Zr3Zn3PdPt2 structure, computed with PBE-GGA.

Cell: 7.276 7.276 3.464 Å, 90.00 90.00 120.00°
Fractional coordinates of all 9 atoms:
Pd 0.000 0.000 0.000
Pt 0.667 0.333 0.500
Pt 0.333 0.667 0.500
Zn 0.733 0.000 0.500
Zn 0.267 0.267 0.500
Zn 0.000 0.733 0.500
Zr 0.399 0.000 0.000
Zr 0.000 0.399 0.000
Zr 0.601 0.601 0.000

## Properties
Theoretical density: 10.10 g/cm³
SG: P-62m
Calculated formation energy: -0.76 eV/atom

12.
A geometry-optimized PuPd structure, computed with PBE-GGA.

Cell: 7.165 4.430 5.766 Å, 90.00 90.00 90.00°
Site moments in Bohr magnetons follow the coordinates.
Fractional coordinates of all 8 atoms:
Pd 0.454 0.750 0.145  -0.04
Pd 0.954 0.750 0.355  -0.05
Pd 0.046 0.250 0.645  -0.05
Pd 0.546 0.250 0.855  -0.04
Pu 0.173 0.250 0.134  5.33
Pu 0.673 0.250 0.366  5.34
Pu 0.327 0.750 0.634  5.34
Pu 0.827 0.750 0.866  5.33

## Properties
Theoretical density: 12.72 g/cm³
SG: Pnma
Calculated formation energy: -0.52 eV/atom

13.
A geometry-optimized PuPd structure, computed with PBE-GGA.

Cell: 2.697 2.697 5.289 Å, 90.00 90.00 120.00°
Site moments in Bohr magnetons follow the coordinates.
Fractional coordinates of all 2 atoms:
Pd 0.667 0.333 0.750  0.11
Pu 0.333 0.667 0.250  3.40

## Properties
Theoretical density: 17.46 g/cm³
SG: P-6m2
Calculated formation energy: 0.00 eV/atom

14.
A geometry-optimized PuPd structure, computed with PBE-GGA.

Cell: 4.415 4.415 4.415 Å, 60.00 60.00 60.00°
Site moments in Bohr magnetons follow the coordinates.
Fractional coordinates of all 2 atoms:
Pd 0.000 0.000 0.000  -0.03
Pu 0.250 0.250 0.250  5.45

## Properties
Theoretical density: 9.56 g/cm³
SG: F-43m
Calculated formation energy: 0.31 eV/atom